Record 1
Here is a relaxed Tm2Ni2Pb crystal from Alexandria. Energies are from PBE-GGA.

Cell lengths 5.7144, 5.7144, 5.7144 Å; angles 49.04, 49.04, 49.04 degrees
Last column: nearest neighbours and their distance in Å.
Sites, in units of the cell vectors:
Tm1 0.2260 0.2260 0.2260  4 Ni 2.76-2.90
Tm2 0.7740 0.7740 0.7740  4 Ni 2.76-2.90
Ni1 0.4186 0.4186 0.4186  1 Ni 2.45
Ni2 0.5814 0.5814 0.5814  1 Ni 2.45
Pb1 0.0000 0.0000 0.0000  6 Ni 3.02, 6 Tm 3.18

Summary:
The density of states at the Fermi level is 2.0 states/eV per cell. As for the formation energy: -0.3422 eV/atom.

=====

Record 2
Here is a relaxed Li2ScNi crystal from Alexandria. Energies are from PBE-GGA.

Cell lengths 3.6449, 3.6449, 4.8806 Å; angles 90.00, 90.00, 90.00 degrees
Last column: nearest neighbours and their distance in Å.
Sites, in units of the cell vectors:
Li1 0.0000 0.5000 0.0000  4 Li 2.58
Li2 0.5000 0.0000 0.0000  4 Li 2.58
Sc1 0.0000 0.0000 0.5000  4 Ni 2.58
Ni1 0.5000 0.5000 0.5000  4 Sc 2.58

Summary:
The density of states at the Fermi level is 1.8 states/eV per cell. As for the formation energy: -0.0575 eV/atom.

=====

Record 3
Here is a relaxed CaMgTaI2 crystal from Alexandria. Energies are from PBE-GGA.

Cell lengths 5.8634, 5.8634, 6.3621 Å; angles 90.00, 90.00, 90.00 degrees
Last column: nearest neighbours and their distance in Å.
Sites, in units of the cell vectors:
Ca1 0.0000 0.0000 0.0000  4 I 2.93, 2 Ta 3.18
Mg1 0.5000 0.5000 0.5000  4 Ta 4.15, 8 I 4.33
Ta1 0.0000 0.0000 0.5000  2 Ca 3.18
I1 0.0000 0.5000 0.0000  2 Ca 2.93
I2 0.5000 0.0000 0.0000  2 Ca 2.93

Summary:
The density of states at the Fermi level is 4.3 states/eV per cell. As for the formation energy without anion corrections: 813 meV/atom.

=====

Record 4
Here is a relaxed Cr2NiAu crystal from Alexandria. Energies are from PBE-GGA.

Cell lengths 4.3125, 4.3125, 4.3125 Å; angles 60.00, 60.00, 60.00 degrees
Last column: nearest neighbours and their distance in Å.
Sites, in units of the cell vectors:
Cr1 0.0000 0.0000 0.0000  4 Ni 2.64, 4 Cr 2.64
Cr2 0.2500 0.2500 0.2500  4 Cr 2.64, 4 Au 2.64
Ni1 0.7500 0.7500 0.7500  4 Cr 2.64, 4 Au 2.64
Au1 0.5000 0.5000 0.5000  4 Ni 2.64, 4 Cr 2.64

Summary:
The density of states at the Fermi level is 6.8 states/eV per cell. As for the formation energy: 0.2287 eV/atom.

=====

Record 5
Here is a relaxed Na5PmTe4 crystal from Alexandria. Energies are from PBE-GGA.

Cell lengths 9.7884, 9.7884, 7.9161 Å; angles 94.27, 94.27, 28.78 degrees
Last column: nearest neighbours and their distance in Å.
Sites, in units of the cell vectors:
Na1 0.0000 0.0000 0.0000  4 Te 3.28, 4 Na 3.43
Na2 0.3137 0.3137 0.4215  4 Te 3.07-3.13
Na3 0.3794 0.3794 0.8768  3 Te 2.99-3.12
Na4 0.6206 0.6206 0.1232  3 Te 2.99-3.12
Na5 0.6863 0.6863 0.5785  4 Te 3.07-3.13
Pm1 0.0000 0.0000 0.5000  6 Te 3.20-3.25
Te1 0.1496 0.1496 0.3380  5 Na 2.99-3.13, 1 Pm 3.20
Te2 0.4520 0.4520 0.2441  5 Na 3.07-3.41, 2 Pm 3.25
Te3 0.5480 0.5480 0.7559  5 Na 3.07-3.41, 2 Pm 3.25
Te4 0.8504 0.8504 0.6620  5 Na 2.99-3.13, 1 Pm 3.20

Summary:
The density of states at the Fermi level is 0.0 states/eV per cell. As for the formation energy without anion corrections: -1026 meV/atom.

=====

Record 6
Here is a relaxed Pr3BeI3 crystal from Alexandria. Energies are from PBE-GGA.

Cell lengths 10.8029, 10.8029, 10.8029 Å; angles 109.47, 109.47, 109.47 degrees
Last column: nearest neighbours and their distance in Å.
Sites, in units of the cell vectors:
Pr1 0.0173 0.0345 0.2673  2 Be 2.91
Pr2 0.0173 0.4827 0.7500  2 Be 2.91
Pr3 0.0345 0.2673 0.0173  2 Be 2.91
Pr4 0.2327 0.2673 0.7500  2 Be 2.91
Pr5 0.2327 0.4655 0.4827  2 Be 2.91
Pr6 0.2673 0.0173 0.0345  2 Be 2.91
Pr7 0.2673 0.7500 0.2327  2 Be 2.91
Pr8 0.4655 0.4827 0.2327  2 Be 2.91
Pr9 0.4827 0.2327 0.4655  2 Be 2.91
Pr10 0.4827 0.7500 0.0173  2 Be 2.91
Pr11 0.7500 0.0173 0.4827  2 Be 2.91
Pr12 0.7500 0.2327 0.2673  2 Be 2.91
Be1 0.0000 0.2500 0.5000  6 Pr 2.91
Be2 0.2500 0.2500 0.2500  6 Pr 2.91
Be3 0.2500 0.5000 0.0000  6 Pr 2.91
Be4 0.5000 0.0000 0.2500  6 Pr 2.91
I1 0.2500 0.7595 0.7405  4 Pr 3.26-3.35
I2 0.2500 0.9905 0.5095  4 Pr 3.26-3.35
I3 0.5095 0.2500 0.9905  4 Pr 3.26-3.35
I4 0.5095 0.7595 0.5190  4 Pr 3.26-3.35
I5 0.5190 0.5095 0.7595  4 Pr 3.26-3.35
I6 0.7405 0.2500 0.7595  4 Pr 3.26-3.35
I7 0.7405 0.9905 0.9810  4 Pr 3.26-3.35
I8 0.7595 0.5190 0.5095  4 Pr 3.26-3.35
I9 0.7595 0.7405 0.2500  4 Pr 3.26-3.35
I10 0.9810 0.7405 0.9905  4 Pr 3.26-3.35
I11 0.9905 0.5095 0.2500  4 Pr 3.26-3.35
I12 0.9905 0.9810 0.7405  4 Pr 3.26-3.35

Summary:
The density of states at the Fermi level is 26.4 states/eV per cell. As for the formation energy without anion corrections: -828 meV/atom.